Record 1
TeAsOs2: optimized geometry, GGA-PBE.

Cell lengths 3.0078, 5.2399, 8.9252 Å; angles 90.00, 90.00, 90.00 degrees
Closest atoms and distances in Å follow each position.
Space group Cmmm (No. 65)
Inequivalent atoms, fractional coordinates:
1 Te 0.0000 0.0000 0.0000 x2  4 Os 2.95, 6 Te 3.01-3.02
2 As 0.0000 0.0000 0.5000 x2  4 Os 2.44
3 Os 0.0000 0.5000 0.2846 x4  2 As 2.44

Properties
**Calculated volume**: 17.58 Å³ per atom
**Energy above the lowest structure with this stoichiometry**: 2.39 eV/f.u.
**Uncorrected formation energy**: 953 meV per atom

***

Record 2
TeAsOs2: optimized geometry, GGA-PBE.

Cell lengths 2.8532, 3.7623, 7.7206 Å; angles 90.00, 90.16, 90.00 degrees
Closest atoms and distances in Å follow each position.
Space group Pm (No. 6)
Inequivalent atoms, fractional coordinates:
1 Te 0.0000 0.0000 0.0000 x1  2 Os 2.74, 2 Te 2.85
2 As 0.9949 0.5000 0.4081 x1  5 Os 2.58-2.75, 2 As 2.85
3 Os 0.4964 0.0000 0.5899 x1  6 Os 2.64-2.85, 4 As 2.75
4 Os 0.9975 0.5000 0.7425 x1  1 As 2.58, 6 Os 2.64-2.85, 2 Te 2.74

Properties
**Calculated volume**: 20.72 Å³ per atom
**Energy above the lowest structure with this stoichiometry**: 0.00 eV/f.u.
**Uncorrected formation energy**: 357 meV per atom

***

Record 3
TeAs2Os: optimized geometry, GGA-PBE.

Cell lengths 3.0344, 5.1927, 11.1026 Å; angles 90.00, 90.00, 90.00 degrees
Closest atoms and distances in Å follow each position.
Space group Cmmm (No. 65)
Inequivalent atoms, fractional coordinates:
1 Te 0.0000 0.0000 0.0000 x2  6 Te 3.01-3.03
2 As 0.0000 0.5000 0.3173 x4  2 Os 2.53
3 Os 0.0000 0.0000 0.5000 x2  4 As 2.53

Properties
**Calculated volume**: 21.87 Å³ per atom
**Uncorrected formation energy**: 447 meV per atom

***

Record 4
TeAs2Os: optimized geometry, GGA-PBE.

Cell lengths 4.6950, 4.6950, 6.7114 Å; angles 90.00, 90.00, 90.00 degrees
Closest atoms and distances in Å follow each position.
Space group I-4m2 (No. 119)
Inequivalent atoms, fractional coordinates:
1 Te 0.0000 0.0000 0.0000 x2  4 As 2.89, 4 Os 2.89
2 As 0.0000 0.0000 0.5000 x2  4 As 2.89, 4 Os 2.89
3 As 0.0000 0.5000 0.7500 x2  4 As 2.89, 4 Te 2.89
4 Os 0.0000 0.5000 0.2500 x2  4 As 2.89, 4 Te 2.89

Properties
**Calculated volume**: 18.49 Å³ per atom
**Uncorrected formation energy**: 731 meV per atom

***

Record 5
TeAsOs: optimized geometry, GGA-PBE.

Cell lengths 10.6516, 12.6897, 7.4401 Å; angles 90.00, 90.00, 90.00 degrees
Closest atoms and distances in Å follow each position.
Space group Fdd2 (No. 43)
Inequivalent atoms, fractional coordinates:
1 Te 0.1032 0.0726 0.0000 x16  3 Os 2.60-2.61, 1 Te 2.87
2 As 0.0981 0.0630 0.4977 x16  3 Os 2.49-2.61, 1 As 2.63
3 Os 0.0047 0.2427 0.5000 x16  3 As 2.49-2.61, 3 Te 2.60-2.61

Properties
**Calculated volume**: 20.95 Å³ per atom
**Uncorrected formation energy**: 34 meV per atom

***

Record 6
TeAsOs2: optimized geometry, GGA-PBE.

Cell lengths 3.8678, 3.8678, 9.0150 Å; angles 90.00, 90.00, 90.00 degrees
Closest atoms and distances in Å follow each position.
Space group I-4m2 (No. 119)
Inequivalent atoms, fractional coordinates:
1 Te 0.0000 0.0000 0.0000 x2  8 Os 2.73-2.97, 4 As 2.97
2 As 0.0000 0.5000 0.7500 x2  8 Os 2.73-2.97, 4 Te 2.97
3 Os 0.0000 0.0000 0.5000 x2  4 Te 2.73, 4 As 2.97, 4 Os 2.97
4 Os 0.0000 0.5000 0.2500 x2  4 As 2.73, 4 Te 2.97, 4 Os 2.97

Properties
**Calculated volume**: 16.86 Å³ per atom
**Energy above the lowest structure with this stoichiometry**: 2.39 eV/f.u.
**Uncorrected formation energy**: 953 meV per atom

***

Record 7
Te2AsOs: optimized geometry, GGA-PBE.

Cell lengths 6.7394, 6.7394, 10.1939 Å; angles 90.00, 90.00, 90.00 degrees
Closest atoms and distances in Å follow each position.
Space group I-42d (No. 122)
Inequivalent atoms, fractional coordinates:
1 Te 0.2097 0.2500 0.1250 x8  2 Os 2.54
2 As 0.0000 0.0000 0.5000 x4  4 Te 2.88
3 Os 0.0000 0.0000 0.0000 x4  4 Te 2.54

Properties
**Calculated volume**: 28.94 Å³ per atom
**Uncorrected formation energy**: 586 meV per atom

***

Record 8
TeAs2Os: optimized geometry, GGA-PBE.

Cell lengths 5.4186, 5.4186, 5.4121 Å; angles 90.00, 90.00, 90.00 degrees
Closest atoms and distances in Å follow each position.
Space group I4/mmm (No. 139)
Inequivalent atoms, fractional coordinates:
1 Te 0.0000 0.0000 0.0000 x2  2 Os 2.71, 4 As 2.71
2 As 0.0000 0.5000 0.0000 x4  2 As 2.71, 2 Os 2.71, 2 Te 2.71
3 Os 0.0000 0.0000 0.5000 x2  2 Te 2.71, 4 As 2.71

Properties
**Calculated volume**: 19.86 Å³ per atom
**Uncorrected formation energy**: 570 meV per atom